PBE Ag5C, optimized geometry; ΔE_f = 732 meV per atom; offset from the most stable computed form = 0.0 meV/atom
1.0
-3.732 -3.031 -1.629
-3.262 -3.692 1.226
-5.906 3.434 1.769
Ag C
5 1
Direct
0.012 0.012 0.557
0.703 0.703 0.749
0.314 0.314 0.377
0.615 0.615 0.193
0.933 0.933 0.985
0.256 0.256 0.972